No. 1
Sr16Fe16O47 after structural relaxation. Source: Alexandria via LeMat-Bulk, functional PBE with a Hubbard U.

D(E_F) = 30.047 states/eV/f.u.
E = -6.373 eV per atom
space group = I4/mmm (139)
crystal system = tetragonal
theoretical density = 5.26 Mg/m³

```
data_Sr16Fe16O47
_space_group_name_H-M_alt 'P 1'
_space_group_IT_number 1
_cell_length_a 11.0835
_cell_length_b 11.0835
_cell_length_c 11.0835
_cell_angle_alpha 120.03
_cell_angle_beta 120.03
_cell_angle_gamma 89.95
loop_
_space_group_symop_operation_xyz
'x,y,z'
loop_
_atom_site_label
_atom_site_fract_x
_atom_site_fract_y
_atom_site_fract_z
O1 0.7512 0.0007 0.5007
O2 0.2488 0.9993 0.4993
O3 0.2505 0.5000 0.4993
O4 0.7473 0.2527 0.0000
O5 0.5000 0.0007 0.2495
O6 0.5000 0.0000 0.0000
O7 0.9950 0.2351 0.0000
O8 0.4986 0.2510 0.0000
O9 0.7479 0.7479 0.0000
O10 0.7490 0.7490 0.2475
O11 0.2510 0.2510 0.7525
O12 0.0050 0.0050 0.2401
O13 0.7649 0.0050 0.0000
O14 0.5000 0.7495 0.5007
O15 0.2351 0.9950 0.0000
O16 0.7473 0.7473 0.4946
O17 0.7649 0.7649 0.7599
O18 0.0050 0.7649 0.0000
O19 0.5000 0.5000 0.0000
O20 0.9993 0.5000 0.7505
O21 0.5000 0.9993 0.7505
O22 0.5000 0.5000 0.5000
O23 0.7512 0.2505 0.7505
O24 0.2351 0.2351 0.2401
O25 0.5000 0.2505 0.4993
O26 0.0007 0.7512 0.5007
O27 0.2521 0.2521 0.0000
O28 0.2510 0.4986 0.0000
O29 0.7495 0.5000 0.5007
O30 0.4986 0.4986 0.2475
O31 0.7490 0.5014 0.0000
O32 0.2488 0.7495 0.2495
O33 0.7495 0.2488 0.2495
O34 0.9993 0.2488 0.4993
O35 0.5014 0.5014 0.7525
O36 0.2505 0.7512 0.7505
O37 0.5014 0.7490 0.0000
O38 0.0007 0.5000 0.2495
O39 0.2527 0.7473 0.0000
O40 0.0000 0.0000 0.5000
O41 0.7500 0.2500 0.5000
O42 0.5000 0.0000 0.5000
O43 0.2527 0.2527 0.5054
O44 0.0000 0.5000 0.5000
O45 0.9950 0.9950 0.7599
O46 0.0000 0.5000 0.0000
O47 0.2500 0.7500 0.5000
Fe1 0.6253 0.1253 0.5000
Fe2 0.1255 0.1255 0.4999
Fe3 0.3744 0.8745 0.0000
Fe4 0.1253 0.6253 0.5000
Fe5 0.1255 0.6256 0.0000
Fe6 0.3765 0.3765 0.0000
Fe7 0.6256 0.1255 0.0000
Fe8 0.6235 0.6235 0.0000
Fe9 0.8745 0.3744 0.0000
Fe10 0.8745 0.8745 0.5001
Fe11 0.3747 0.8747 0.5000
Fe12 0.8747 0.3747 0.5000
Fe13 0.6256 0.6256 0.5001
Fe14 0.1328 0.1328 0.0000
Fe15 0.8672 0.8672 0.0000
Fe16 0.3744 0.3744 0.4999
Sr1 0.2518 0.5000 0.7518
Sr2 0.2592 0.0000 0.2592
Sr3 0.4963 0.7483 0.7480
Sr4 0.7408 0.0000 0.7408
Sr5 0.2517 0.9996 0.7480
Sr6 0.9996 0.2517 0.7480
Sr7 0.2517 0.5037 0.2520
Sr8 0.0000 0.7408 0.7408
Sr9 0.7483 0.4963 0.7480
Sr10 0.5037 0.2517 0.2520
Sr11 0.7482 0.5000 0.2482
Sr12 0.0004 0.7483 0.2520
Sr13 0.0000 0.2592 0.2592
Sr14 0.7483 0.0004 0.2520
Sr15 0.5000 0.2518 0.7518
Sr16 0.5000 0.7482 0.2482
```



No. 2
SrFeO4 after structural relaxation. Source: Alexandria via LeMat-Bulk, functional PBE with a Hubbard U.

E = -5.776 eV per atom
space group = P4_2/nmc (137)
crystal system = tetragonal
theoretical density = 3.85 Mg/m³

```
data_SrFeO4
_space_group_name_H-M_alt 'P 1'
_space_group_IT_number 1
_cell_length_a 5.2233
_cell_length_b 5.2233
_cell_length_c 6.5537
_cell_angle_alpha 90.00
_cell_angle_beta 90.00
_cell_angle_gamma 90.00
loop_
_space_group_symop_operation_xyz
'x,y,z'
loop_
_atom_site_label
_atom_site_fract_x
_atom_site_fract_y
_atom_site_fract_z
O1 0.2434 0.5000 0.3513
O2 0.0000 0.2566 0.8513
O3 0.7566 0.5000 0.3513
O4 0.2566 0.0000 0.1487
O5 0.5000 0.2434 0.6487
O6 0.0000 0.7434 0.8513
O7 0.7434 0.0000 0.1487
O8 0.5000 0.7566 0.6487
Sr1 0.0000 0.0000 0.5000
Sr2 0.5000 0.5000 0.0000
Fe1 0.0000 0.0000 0.0000
Fe2 0.5000 0.5000 0.5000
```



No. 3
SrFeO2 after structural relaxation. Source: Alexandria via LeMat-Bulk, functional PBE with a Hubbard U.

D(E_F) = 0.000 states/eV/f.u.
E = -6.359 eV per atom
space group = P4/mmm (123)
crystal system = tetragonal
theoretical density = 5.01 Mg/m³

```
data_SrFeO2
_space_group_name_H-M_alt 'P 1'
_space_group_IT_number 1
_cell_length_a 3.4961
_cell_length_b 4.0783
_cell_length_c 4.0783
_cell_angle_alpha 90.00
_cell_angle_beta 90.00
_cell_angle_gamma 90.00
loop_
_space_group_symop_operation_xyz
'x,y,z'
loop_
_atom_site_label
_atom_site_fract_x
_atom_site_fract_y
_atom_site_fract_z
Sr1 0.5000 0.5000 0.5000
Fe1 0.0000 0.0000 0.0000
O1 0.0000 0.0000 0.5000
O2 0.0000 0.5000 0.0000
```



No. 4
Sr2FeO3 after structural relaxation. Source: Alexandria via LeMat-Bulk, functional PBE with a Hubbard U.

D(E_F) = 0.000 states/eV/f.u.
E = -6.154 eV per atom
space group = Immm (71)
crystal system = orthorhombic
theoretical density = 5.10 Mg/m³

```
data_Sr2FeO3
_space_group_name_H-M_alt 'P 1'
_space_group_IT_number 1
_cell_length_a 3.4495
_cell_length_b 5.0739
_cell_length_c 10.3818
_cell_angle_alpha 90.00
_cell_angle_beta 90.00
_cell_angle_gamma 90.00
loop_
_space_group_symop_operation_xyz
'x,y,z'
loop_
_atom_site_label
_atom_site_fract_x
_atom_site_fract_y
_atom_site_fract_z
O1 0.0000 0.9997 0.3568
O2 0.5000 0.5000 0.5000
O3 0.0000 0.0000 0.0000
O4 0.5000 0.5003 0.8568
O5 0.5000 0.4997 0.1432
O6 0.0000 0.0003 0.6432
Sr1 0.0000 0.5004 0.6647
Sr2 0.5000 0.9996 0.1647
Sr3 0.5000 0.0004 0.8353
Sr4 0.0000 0.4996 0.3353
Fe1 0.5000 0.0000 0.5000
Fe2 0.0000 0.5000 0.0000
```



No. 5
SrFeO2 after structural relaxation. Source: Alexandria via LeMat-Bulk, functional PBE with a Hubbard U.

D(E_F) = 0.000 states/eV/f.u.
E = -6.200 eV per atom
space group = I-42d (122)
crystal system = tetragonal
theoretical density = 4.29 Mg/m³

```
data_SrFeO2
_space_group_name_H-M_alt 'P 1'
_space_group_IT_number 1
_cell_length_a 4.9865
_cell_length_b 4.9865
_cell_length_c 6.4991
_cell_angle_alpha 67.44
_cell_angle_beta 67.44
_cell_angle_gamma 90.00
loop_
_space_group_symop_operation_xyz
'x,y,z'
loop_
_atom_site_label
_atom_site_fract_x
_atom_site_fract_y
_atom_site_fract_z
Fe1 0.5000 0.5000 0.0000
Fe2 0.2500 0.7500 0.5000
Sr1 0.0000 0.0000 0.0000
Sr2 0.7500 0.2500 0.5000
O1 0.8750 0.8130 0.7500
O2 0.1870 0.6250 0.2500
O3 0.3750 0.4370 0.7500
O4 0.5630 0.1250 0.2500
```



No. 6
Sr4Fe4O11 after structural relaxation. Source: Alexandria via LeMat-Bulk, functional PBE with a Hubbard U.

D(E_F) = 1.743 states/eV/f.u.
space group = Pnnm (58)
polymorph energy (0 for the lowest one) = 12.5 meV/atom
crystal system = orthorhombic
theoretical density = 5.12 Mg/m³

```
data_Sr4Fe4O11
_space_group_name_H-M_alt 'P 1'
_space_group_IT_number 1
_cell_length_a 5.5795
_cell_length_b 7.8557
_cell_length_c 11.1077
_cell_angle_alpha 90.00
_cell_angle_beta 90.00
_cell_angle_gamma 90.00
loop_
_space_group_symop_operation_xyz
'x,y,z'
loop_
_atom_site_label
_atom_site_fract_x
_atom_site_fract_y
_atom_site_fract_z
O1 0.5000 0.5000 0.5000
O2 0.2245 0.7375 0.3883
O3 0.0000 0.0000 0.0000
O4 0.5000 0.0000 0.5000
O5 0.7245 0.2375 0.1117
O6 0.7755 0.7375 0.6117
O7 0.2755 0.7625 0.8883
O8 0.5204 0.0000 0.7582
O9 0.7245 0.7625 0.1117
O10 0.7755 0.2625 0.6117
O11 0.4931 0.5000 0.2433
O12 0.2245 0.2625 0.3883
O13 0.0000 0.5000 0.0000
O14 0.9931 0.0000 0.2567
O15 0.9796 0.5000 0.2582
O16 0.5000 0.5000 0.0000
O17 0.0069 0.0000 0.7433
O18 0.4796 0.0000 0.2418
O19 0.5069 0.5000 0.7567
O20 0.0204 0.5000 0.7418
O21 0.2755 0.2375 0.8883
O22 0.0000 0.0000 0.5000
Fe1 0.7353 0.5000 0.6325
Fe2 0.7552 0.0000 0.6223
Fe3 0.2552 0.5000 0.8777
Fe4 0.2353 0.0000 0.8675
Fe5 0.2647 0.5000 0.3675
Fe6 0.7647 0.0000 0.1325
Fe7 0.2448 0.0000 0.3777
Fe8 0.7448 0.5000 0.1223
Sr1 0.7392 0.2418 0.3726
Sr2 0.2392 0.7418 0.1274
Sr3 0.2392 0.2582 0.1274
Sr4 0.7608 0.7418 0.8726
Sr5 0.7608 0.2582 0.8726
Sr6 0.2608 0.2418 0.6274
Sr7 0.7392 0.7582 0.3726
Sr8 0.2608 0.7582 0.6274
```



Repeat the fourth record exactly.
Sr2FeO3 after structural relaxation. Source: Alexandria via LeMat-Bulk, functional PBE with a Hubbard U.

D(E_F) = 0.000 states/eV/f.u.
E = -6.154 eV per atom
space group = Immm (71)
crystal system = orthorhombic
theoretical density = 5.10 Mg/m³

```
data_Sr2FeO3
_space_group_name_H-M_alt 'P 1'
_space_group_IT_number 1
_cell_length_a 3.4495
_cell_length_b 5.0739
_cell_length_c 10.3818
_cell_angle_alpha 90.00
_cell_angle_beta 90.00
_cell_angle_gamma 90.00
loop_
_space_group_symop_operation_xyz
'x,y,z'
loop_
_atom_site_label
_atom_site_fract_x
_atom_site_fract_y
_atom_site_fract_z
O1 0.0000 0.9997 0.3568
O2 0.5000 0.5000 0.5000
O3 0.0000 0.0000 0.0000
O4 0.5000 0.5003 0.8568
O5 0.5000 0.4997 0.1432
O6 0.0000 0.0003 0.6432
Sr1 0.0000 0.5004 0.6647
Sr2 0.5000 0.9996 0.1647
Sr3 0.5000 0.0004 0.8353
Sr4 0.0000 0.4996 0.3353
Fe1 0.5000 0.0000 0.5000
Fe2 0.0000 0.5000 0.0000
```



What did the sixth record say?
Sr4Fe4O11 after structural relaxation. Source: Alexandria via LeMat-Bulk, functional PBE with a Hubbard U.

D(E_F) = 1.743 states/eV/f.u.
space group = Pnnm (58)
polymorph energy (0 for the lowest one) = 12.5 meV/atom
crystal system = orthorhombic
theoretical density = 5.12 Mg/m³

```
data_Sr4Fe4O11
_space_group_name_H-M_alt 'P 1'
_space_group_IT_number 1
_cell_length_a 5.5795
_cell_length_b 7.8557
_cell_length_c 11.1077
_cell_angle_alpha 90.00
_cell_angle_beta 90.00
_cell_angle_gamma 90.00
loop_
_space_group_symop_operation_xyz
'x,y,z'
loop_
_atom_site_label
_atom_site_fract_x
_atom_site_fract_y
_atom_site_fract_z
O1 0.5000 0.5000 0.5000
O2 0.2245 0.7375 0.3883
O3 0.0000 0.0000 0.0000
O4 0.5000 0.0000 0.5000
O5 0.7245 0.2375 0.1117
O6 0.7755 0.7375 0.6117
O7 0.2755 0.7625 0.8883
O8 0.5204 0.0000 0.7582
O9 0.7245 0.7625 0.1117
O10 0.7755 0.2625 0.6117
O11 0.4931 0.5000 0.2433
O12 0.2245 0.2625 0.3883
O13 0.0000 0.5000 0.0000
O14 0.9931 0.0000 0.2567
O15 0.9796 0.5000 0.2582
O16 0.5000 0.5000 0.0000
O17 0.0069 0.0000 0.7433
O18 0.4796 0.0000 0.2418
O19 0.5069 0.5000 0.7567
O20 0.0204 0.5000 0.7418
O21 0.2755 0.2375 0.8883
O22 0.0000 0.0000 0.5000
Fe1 0.7353 0.5000 0.6325
Fe2 0.7552 0.0000 0.6223
Fe3 0.2552 0.5000 0.8777
Fe4 0.2353 0.0000 0.8675
Fe5 0.2647 0.5000 0.3675
Fe6 0.7647 0.0000 0.1325
Fe7 0.2448 0.0000 0.3777
Fe8 0.7448 0.5000 0.1223
Sr1 0.7392 0.2418 0.3726
Sr2 0.2392 0.7418 0.1274
Sr3 0.2392 0.2582 0.1274
Sr4 0.7608 0.7418 0.8726
Sr5 0.7608 0.2582 0.8726
Sr6 0.2608 0.2418 0.6274
Sr7 0.7392 0.7582 0.3726
Sr8 0.2608 0.7582 0.6274
```



- What is the theoretical density in the second record?
  3.85 Mg/m³